No. 1
# LaSc3Au4O12, relaxed, DFT PBE
data_LaSc3Au4O12
_chemical_formula_sum 'La1 Sc3 Au4 O12'
_symmetry_space_group_name_H-M 'P 1'
_symmetry_Int_Tables_number 1
_symmetry_space_group_name_Hall 'P 1'
_cell_length_a 7.0080
_cell_length_b 7.0080
_cell_length_c 7.0080
_cell_angle_alpha 105.32
_cell_angle_beta 105.32
_cell_angle_gamma 105.32
loop_
_atom_site_label
_atom_site_fract_x
_atom_site_fract_y
_atom_site_fract_z
_atom_site_occupancy
Sc1 0.0000 0.5691 0.4309 1
Sc2 0.4309 0.0000 0.5691 1
Sc3 0.5691 0.4309 0.0000 1
O1 0.5000 0.0953 0.9047 1
O2 0.3295 0.0099 0.2534 1
O3 0.9901 0.6705 0.7466 1
O4 0.0953 0.9047 0.5000 1
O5 0.2534 0.3295 0.0099 1
O6 0.3211 0.6789 0.5000 1
O7 0.0099 0.2534 0.3295 1
O8 0.7466 0.9901 0.6705 1
O9 0.6789 0.5000 0.3211 1
O10 0.5000 0.3211 0.6789 1
O11 0.9047 0.5000 0.0953 1
O12 0.6705 0.7466 0.9901 1
Au1 0.5000 0.9078 0.0922 1
Au2 0.9078 0.0922 0.5000 1
Au3 0.5000 0.5000 0.5000 1
Au4 0.0922 0.5000 0.9078 1
La1 0.0000 0.0000 0.0000 1
# Crystal system   trigonal
# Energy   -6.288 eV per atom
# Symmetry   R32, No. 155
# Energy relative to the elements, uncorrected   -1.46 eV/atom
# DOS at the Fermi energy   17.7 states/eV/cell



No. 2
# RbSrTc2Se, relaxed, DFT PBE
data_RbSrTc2Se
_chemical_formula_sum 'Rb1 Sr1 Tc2 Se1'
_symmetry_space_group_name_H-M 'P 1'
_symmetry_Int_Tables_number 1
_symmetry_space_group_name_Hall 'P 1'
_cell_length_a 4.8774
_cell_length_b 6.2588
_cell_length_c 4.8774
_cell_angle_alpha 90.00
_cell_angle_beta 90.00
_cell_angle_gamma 90.00
loop_
_atom_site_label
_atom_site_fract_x
_atom_site_fract_y
_atom_site_fract_z
_atom_site_occupancy
Rb1 0.0000 0.0000 0.0000 1
Tc1 0.5000 0.0000 0.0000 1
Tc2 0.0000 0.0000 0.5000 1
Sr1 0.5000 0.5000 0.5000 1
Se1 0.0000 0.5000 0.0000 1
# Crystal system   tetragonal
# Energy   -3.560 eV per atom
# Symmetry   P4/mmm, No. 123
# Energy relative to the elements, uncorrected   1.81 eV/atom
# DOS at the Fermi energy   2.5 states/eV/cell



No. 3
# PmMg2In3, relaxed, DFT PBE
data_PmMg2In3
_chemical_formula_sum 'Pm1 Mg2 In3'
_symmetry_space_group_name_H-M 'P 1'
_symmetry_Int_Tables_number 1
_symmetry_space_group_name_Hall 'P 1'
_cell_length_a 4.5596
_cell_length_b 4.6192
_cell_length_c 7.3965
_cell_angle_alpha 108.20
_cell_angle_beta 90.00
_cell_angle_gamma 90.00
loop_
_atom_site_label
_atom_site_fract_x
_atom_site_fract_y
_atom_site_fract_z
_atom_site_occupancy
Mg1 0.0000 0.3263 0.6526 1
Mg2 0.0000 0.6737 0.3474 1
In1 0.5000 0.5000 0.0000 1
In2 0.5000 0.1715 0.3429 1
In3 0.5000 0.8285 0.6571 1
Pm1 0.0000 0.0000 0.0000 1
# Crystal system   orthorhombic
# Energy   -2.998 eV per atom
# Energy relative to the elements   -0.305 eV per atom
# Symmetry   Cmmm, No. 65
# DOS at the Fermi energy   3.2 states/eV/cell



No. 4
# UIn3Te6Pb2, relaxed, DFT PBE
data_UIn3Te6Pb2
_chemical_formula_sum 'U1 In3 Te6 Pb2'
_symmetry_space_group_name_H-M 'P 1'
_symmetry_Int_Tables_number 1
_symmetry_space_group_name_Hall 'P 1'
_cell_length_a 7.8924
_cell_length_b 7.8924
_cell_length_c 8.2457
_cell_angle_alpha 99.13
_cell_angle_beta 99.13
_cell_angle_gamma 119.59
loop_
_atom_site_label
_atom_site_fract_x
_atom_site_fract_y
_atom_site_fract_z
_atom_site_occupancy
In1 0.5000 0.5000 0.5000 1
In2 0.1697 0.8303 0.5000 1
In3 0.8303 0.1697 0.5000 1
Te1 0.3831 0.0750 0.2269 1
Te2 0.0750 0.3831 0.2269 1
Te3 0.2280 0.2280 0.7647 1
Te4 0.9250 0.6169 0.7731 1
Te5 0.7720 0.7720 0.2353 1
Te6 0.6169 0.9250 0.7731 1
Pb1 0.3339 0.6661 0.0000 1
Pb2 0.6661 0.3339 0.0000 1
U1 0.0000 0.0000 0.0000 1
# Crystal system   monoclinic
# Energy   -4.209 eV per atom
# Symmetry   C2/m, No. 12
# Energy relative to the elements, uncorrected   -0.39 eV/atom
# DOS at the Fermi energy   3.5 states/eV/cell



No. 5
# CaFePt2, relaxed, DFT PBE
data_CaFePt2
_chemical_formula_sum 'Ca1 Fe1 Pt2'
_symmetry_space_group_name_H-M 'P 1'
_symmetry_Int_Tables_number 1
_symmetry_space_group_name_Hall 'P 1'
_cell_length_a 4.8627
_cell_length_b 4.8627
_cell_length_c 4.8627
_cell_angle_alpha 128.53
_cell_angle_beta 128.14
_cell_angle_gamma 76.08
loop_
_atom_site_label
_atom_site_fract_x
_atom_site_fract_y
_atom_site_fract_z
_atom_site_occupancy
Ca1 0.7500 0.2500 0.5000 1
Fe1 0.2500 0.7500 0.5000 1
Pt1 0.4990 0.4990 0.0000 1
Pt2 0.0010 0.0010 0.0000 1
# Crystal system   orthorhombic
# Energy   -5.923 eV per atom
# Energy relative to the elements   -0.286 eV per atom
# Symmetry   Immm, No. 71
# DOS at the Fermi energy   3.3 states/eV/cell



No. 6
# TaBi2Au, relaxed, DFT PBE
data_TaBi2Au
_chemical_formula_sum 'Ta1 Bi2 Au1'
_symmetry_space_group_name_H-M 'P 1'
_symmetry_Int_Tables_number 1
_symmetry_space_group_name_Hall 'P 1'
_cell_length_a 3.1374
_cell_length_b 3.1374
_cell_length_c 11.9053
_cell_angle_alpha 82.43
_cell_angle_beta 82.43
_cell_angle_gamma 60.00
loop_
_atom_site_label
_atom_site_fract_x
_atom_site_fract_y
_atom_site_fract_z
_atom_site_occupancy
Bi1 0.9144 0.9144 0.2568 1
Bi2 0.0856 0.0856 0.7432 1
Au1 0.5000 0.5000 0.5000 1
Ta1 0.0000 0.0000 0.0000 1
# Crystal system   trigonal
# Energy   -5.033 eV per atom
# Energy relative to the elements   0.690 eV per atom
# Symmetry   R-3m, No. 166
# DOS at the Fermi energy   3.6 states/eV/cell



No. 7
# Ta5Nb6Mo, relaxed, DFT PBE
data_Ta5Nb6Mo
_chemical_formula_sum 'Ta5 Nb6 Mo1'
_symmetry_space_group_name_H-M 'P 1'
_symmetry_Int_Tables_number 1
_symmetry_space_group_name_Hall 'P 1'
_cell_length_a 4.6828
_cell_length_b 6.5942
_cell_length_c 7.3828
_cell_angle_alpha 90.00
_cell_angle_beta 108.53
_cell_angle_gamma 90.00
loop_
_atom_site_label
_atom_site_fract_x
_atom_site_fract_y
_atom_site_fract_z
_atom_site_occupancy
Nb1 0.1635 0.7521 0.3272 1
Nb2 0.5000 0.2445 0.0000 1
Nb3 0.5000 0.7555 0.0000 1
Nb4 0.1635 0.2479 0.3272 1
Nb5 0.8365 0.7521 0.6728 1
Nb6 0.8365 0.2479 0.6728 1
Mo1 0.0000 0.0000 0.0000 1
Ta1 0.6670 0.5000 0.3343 1
Ta2 0.0000 0.5000 0.0000 1
Ta3 0.3330 0.5000 0.6657 1
Ta4 0.3312 0.0000 0.6619 1
Ta5 0.6688 0.0000 0.3381 1
# Crystal system   orthorhombic
# Energy   -10.907 eV per atom
# Energy relative to the elements   -0.031 eV per atom
# Symmetry   Cmmm, No. 65
# DOS at the Fermi energy   17.5 states/eV/cell



No. 8
# TaNi2B, relaxed, DFT PBE
data_TaNi2B
_chemical_formula_sum 'Ta2 Ni4 B2'
_symmetry_space_group_name_H-M 'P 1'
_symmetry_Int_Tables_number 1
_symmetry_space_group_name_Hall 'P 1'
_cell_length_a 6.4427
_cell_length_b 6.4427
_cell_length_c 5.1092
_cell_angle_alpha 50.91
_cell_angle_beta 50.91
_cell_angle_gamma 90.00
loop_
_atom_site_label
_atom_site_fract_x
_atom_site_fract_y
_atom_site_fract_z
_atom_site_occupancy
Ta1 0.7500 0.2500 0.5000 1
Ta2 0.0000 0.0000 0.0000 1
Ni1 0.3750 0.4639 0.7500 1
Ni2 0.5361 0.1250 0.2500 1
Ni3 0.8750 0.7861 0.7500 1
Ni4 0.2139 0.6250 0.2500 1
B1 0.2500 0.7500 0.5000 1
B2 0.5000 0.5000 0.0000 1
# Crystal system   tetragonal
# Energy   -7.511 eV per atom
# Energy relative to the elements   0.012 eV per atom
# Symmetry   I-42d, No. 122
# DOS at the Fermi energy   7.5 states/eV/cell



No. 9
# TaCo2Ag, relaxed, DFT PBE
data_TaCo2Ag
_chemical_formula_sum 'Ta1 Co2 Ag1'
_symmetry_space_group_name_H-M 'P 1'
_symmetry_Int_Tables_number 1
_symmetry_space_group_name_Hall 'P 1'
_cell_length_a 4.3402
_cell_length_b 4.3402
_cell_length_c 4.3402
_cell_angle_alpha 60.00
_cell_angle_beta 60.00
_cell_angle_gamma 60.00
loop_
_atom_site_label
_atom_site_fract_x
_atom_site_fract_y
_atom_site_fract_z
_atom_site_occupancy
Co1 0.0000 0.0000 0.0000 1
Co2 0.2500 0.2500 0.2500 1
Ag1 0.5000 0.5000 0.5000 1
Ta1 0.7500 0.7500 0.7500 1
# Polymorph energy (0 for the lowest one)   151.1 kJ/mol of formula units
# Crystal system   cubic
# Energy   -6.805 eV per atom
# Energy relative to the elements   0.424 eV per atom
# Symmetry   F-43m, No. 216
# DOS at the Fermi energy   6.5 states/eV/cell



No. 10
# SrSiAg, relaxed, DFT PBE
data_SrSiAg
_chemical_formula_sum 'Sr1 Si1 Ag1'
_symmetry_space_group_name_H-M 'P 1'
_symmetry_Int_Tables_number 1
_symmetry_space_group_name_Hall 'P 1'
_cell_length_a 4.5291
_cell_length_b 4.5291
_cell_length_c 4.2037
_cell_angle_alpha 90.00
_cell_angle_beta 90.00
_cell_angle_gamma 120.00
loop_
_atom_site_label
_atom_site_fract_x
_atom_site_fract_y
_atom_site_fract_z
_atom_site_occupancy
Si1 0.6667 0.3333 0.1667 1
Ag1 0.0000 0.0000 0.1667 1
Sr1 0.3333 0.6667 0.6667 1
# Crystal system   hexagonal
# Energy   -3.632 eV per atom
# Symmetry   P-6m2, No. 187
# Energy relative to the elements, uncorrected   -0.31 eV/atom
# DOS at the Fermi energy   1.6 states/eV/cell



No. 11
# ThSc5Tl3, relaxed, DFT PBE
data_ThSc5Tl3
_chemical_formula_sum 'Th2 Sc10 Tl6'
_symmetry_space_group_name_H-M 'P 1'
_symmetry_Int_Tables_number 1
_symmetry_space_group_name_Hall 'P 1'
_cell_length_a 6.3917
_cell_length_b 8.9191
_cell_length_c 8.9190
_cell_angle_alpha 120.00
_cell_angle_beta 90.00
_cell_angle_gamma 90.00
loop_
_atom_site_label
_atom_site_fract_x
_atom_site_fract_y
_atom_site_fract_z
_atom_site_occupancy
Sc1 0.5000 0.3333 0.6666 1
Sc2 0.7500 0.0000 0.3252 1
Sc3 0.0000 0.6667 0.3334 1
Sc4 0.2500 0.3252 0.3252 1
Sc5 0.2500 0.6748 0.0000 1
Sc6 0.0000 0.3333 0.6666 1
Sc7 0.2500 0.0000 0.6748 1
Sc8 0.7500 0.3252 0.0000 1
Sc9 0.7500 0.6748 0.6748 1
Sc10 0.5000 0.6667 0.3334 1
Tl1 0.7500 0.6504 0.0000 1
Tl2 0.2500 0.6504 0.6505 1
Tl3 0.7500 0.3496 0.3495 1
Tl4 0.2500 0.0000 0.3495 1
Tl5 0.2500 0.3496 0.0000 1
Tl6 0.7500 0.0000 0.6505 1
Th1 0.0000 0.0000 0.0000 1
Th2 0.5000 0.0000 0.0000 1
# Crystal system   hexagonal
# Energy   -5.368 eV per atom
# Energy relative to the elements   -0.237 eV per atom
# Symmetry   P6_3/mcm, No. 193
# DOS at the Fermi energy   17.6 states/eV/cell